Ho2MoO5 | PBE+U | relaxed

Computed properties:
**Final energy**: -8.018 eV/atom
**SG**: Pnma (62)

Structure (extended XYZ):
```
32
Lattice="-1.3404 2.3473 -5.2331 -5.2000 -3.9529 -0.4411 -5.4224 6.6456 4.3699" Properties=species:S:1:pos:R:3 pbc="T T T"
Ho -7.7194 4.6249 0.9024
Ho -4.2435 0.4152 -2.2067
Ho -7.5581 4.7946 -2.3774
Ho -1.6511 2.3858 -1.9868
Ho -4.4048 0.2454 1.0731
Ho -10.3118 2.6542 0.6825
Ho -6.9972 -1.7252 0.8532
Ho -4.9657 6.7653 -2.1575
Mo -4.6063 3.3776 -0.2568
Mo -7.3566 1.6625 -1.0475
Mo -5.1688 -0.7436 -5.2760
Mo -6.7940 5.7837 3.9717
O -4.1156 2.5081 1.7503
O -7.8472 2.5319 -3.0546
O -10.0617 4.9849 1.0697
O -1.9012 0.0552 -2.3740
O -8.7234 0.9120 0.3657
O -3.2395 4.1281 -1.6700
O -6.2016 7.8904 -0.4647
O -5.5327 2.3848 -1.8645
O -5.7613 -2.8503 -0.8396
O -6.4301 2.6552 0.5602
O -3.4680 -1.1070 -0.6450
O -8.4949 6.1471 -0.6593
O -5.8360 4.7011 2.3802
O -6.1268 0.3390 -3.6845
O -8.6626 3.3545 -0.8145
O -3.3003 1.6855 -0.4898
O -5.8989 5.1161 -0.5979
O -6.0640 -0.0760 -0.7064
O -8.5454 2.8444 2.3756
O -3.4175 2.1957 -3.6799
```